[1]
ScPF2 | meta-GGA SCAN | PBEsol geometry

Computed properties:
The calculation puts the calculated density at 3.737 Mg/m³. For the total magnetic moment, the calculation gives 0.01 Bohr magnetons per cell. For the formation energy from raw total energies, the calculation gives -5.78 eV/f.u.

Cell lengths 5.8723, 5.8723, 5.8723 Å; angles 90.00, 90.00, 90.00 degrees
Space group Fm-3m (No. 225)
Unique sites:
Sc 0.0000 0.0000 0.0000 [4 per cell]
P 0.0000 0.0000 0.5000 [4 per cell]
F 0.2500 0.2500 0.2500 [8 per cell]

[2]
LiYTl2 | meta-GGA SCAN | PBEsol geometry

Computed properties:
The calculation puts the calculated density at 8.796 Mg/m³. The formation energy from the elements is -0.512 eV per atom. For the total magnetic moment, the calculation gives 0.00 Bohr magnetons per cell. As for the energy above the most stable polymorph in this dataset: 0.0 kJ per mole of atoms.

Cell lengths 4.9636, 4.9636, 3.8664 Å; angles 90.00, 90.00, 90.00 degrees
Space group P4/mmm (No. 123)
Unique sites:
Li 0.0000 0.0000 0.0000 [1 per cell]
Y 0.5000 0.5000 0.0000 [1 per cell]
Tl 0.0000 0.5000 0.5000 [2 per cell]

[3]
CaGeNO2 | meta-GGA SCAN | PBEsol geometry

Computed properties:
The calculation puts the calculated density at 3.305 Mg/m³. For the total magnetic moment, the calculation gives 3.00 Bohr magnetons per cell. For the formation energy from raw total energies, the calculation gives 1.33 eV/f.u.

Cell lengths 4.2559, 4.2559, 4.4027 Å; angles 90.00, 90.00, 90.00 degrees
Space group P4/mmm (No. 123)
Unique sites:
Ca 0.0000 0.0000 0.0000 [1 per cell]
Ge 0.5000 0.5000 0.5000 [1 per cell]
N 0.0000 0.0000 0.5000 [1 per cell]
O 0.0000 0.5000 0.0000 [2 per cell]

[4]
Re4Ru | meta-GGA SCAN | PBEsol geometry

Computed properties:
The calculation puts the calculated density at 16.851 Mg/m³. The formation energy from the elements is 0.836 eV per atom. For the total magnetic moment, the calculation gives 3.21 Bohr magnetons per cell. As for the energy above the most stable polymorph in this dataset: 0.0 kJ per mole of atoms.

Cell lengths 3.8176, 3.8176, 11.4388 Å; angles 90.00, 90.00, 90.00 degrees
Space group I4/mmm (No. 139)
Unique sites:
Re 0.0000 0.0000 0.1055 [4 per cell]
Re 0.0000 0.5000 0.2500 [4 per cell]
Ru 0.0000 0.0000 0.5000 [2 per cell]

[5]
LaZnSn | meta-GGA SCAN | PBEsol geometry

Computed properties:
The calculation puts the calculated density at 7.085 Mg/m³. The formation energy from the elements is -0.767 eV per atom. For the total magnetic moment, the calculation gives 0.00 Bohr magnetons per cell.

Cell lengths 4.4808, 4.4808, 8.7087 Å; angles 90.00, 90.00, 120.00 degrees
Space group P6_3/mmc (No. 194)
Unique sites:
La 0.0000 0.0000 0.0000 [2 per cell]
Zn 0.3333 0.6667 0.2500 [2 per cell]
Sn 0.3333 0.6667 0.7500 [2 per cell]

[6]
CsSiNO2 | meta-GGA SCAN | PBEsol geometry

Computed properties:
The calculation puts the calculated density at 4.200 Mg/m³. For the total magnetic moment, the calculation gives 0.00 Bohr magnetons per cell. For the formation energy from raw total energies, the calculation gives 8.92 eV/f.u.

Cell lengths 4.2887, 4.2887, 4.4500 Å; angles 90.00, 90.00, 90.00 degrees
Space group P4/mmm (No. 123)
Unique sites:
Cs 0.0000 0.0000 0.0000 [1 per cell]
Si 0.5000 0.5000 0.5000 [1 per cell]
N 0.0000 0.0000 0.5000 [1 per cell]
O 0.0000 0.5000 0.0000 [2 per cell]

[7]
SbAu2IF | meta-GGA SCAN | PBEsol geometry

Computed properties:
The calculation puts the calculated density at 6.723 Mg/m³. For the total magnetic moment, the calculation gives 1.82 Bohr magnetons per cell. For the formation energy from raw total energies, the calculation gives 4.04 eV/f.u.

Cell lengths 5.1811, 5.1811, 6.0878 Å; angles 90.00, 90.00, 90.00 degrees
Space group P4/mmm (No. 123)
Unique sites:
Sb 0.0000 0.0000 0.0000 [1 per cell]
Au 0.0000 0.5000 0.5000 [2 per cell]
I 0.0000 0.0000 0.5000 [1 per cell]
F 0.5000 0.5000 0.0000 [1 per cell]

[8]
LiAg3 | meta-GGA SCAN | PBEsol geometry

Computed properties:
The calculation puts the calculated density at 8.576 Mg/m³. The formation energy from the elements is -0.123 eV per atom. For the total magnetic moment, the calculation gives 0.00 Bohr magnetons per cell.

Cell lengths 5.6639, 5.6639, 4.6073 Å; angles 90.00, 90.00, 120.00 degrees
Space group P6_3/mmc (No. 194)
Unique sites:
Li 0.3333 0.6667 0.2500 [2 per cell]
Ag 0.1680 0.3359 0.7500 [6 per cell]

[9]
CaPbC2 | meta-GGA SCAN | PBEsol geometry

Computed properties:
The calculation puts the calculated density at 6.694 Mg/m³. The formation energy from the elements is 1.392 eV per atom. For the total magnetic moment, the calculation gives 0.00 Bohr magnetons per cell.

Cell lengths 6.3906, 6.3906, 6.5919 Å; angles 90.00, 90.00, 90.00 degrees
Space group I-42d (No. 122)
Unique sites:
Ca 0.0000 0.0000 0.0000 [4 per cell]
Pb 0.0000 0.0000 0.5000 [4 per cell]
C 0.2180 0.7500 0.6250 [8 per cell]

[10]
LaTaNb2Cd | meta-GGA SCAN | PBEsol geometry

Computed properties:
The calculation puts the calculated density at 8.325 Mg/m³. The formation energy from the elements is 2.269 eV per atom. For the total magnetic moment, the calculation gives 1.58 Bohr magnetons per cell.

Cell lengths 4.8082, 4.8082, 5.3324 Å; angles 90.00, 90.00, 90.00 degrees
Space group P4/mmm (No. 123)
Unique sites:
La 0.0000 0.0000 0.0000 [1 per cell]
Ta 0.5000 0.5000 0.5000 [1 per cell]
Nb 0.0000 0.5000 0.0000 [2 per cell]
Cd 0.0000 0.0000 0.5000 [1 per cell]

[11]
Au4BrCl | meta-GGA SCAN | PBEsol geometry

Computed properties:
The calculation puts the calculated density at 12.683 Mg/m³. For the total magnetic moment, the calculation gives 0.00 Bohr magnetons per cell. For the formation energy from raw total energies, the calculation gives 1.98 eV/f.u.

Cell lengths 7.7915, 7.7915, 7.7915 Å; angles 90.00, 90.00, 90.00 degrees
Space group F-43m (No. 216)
Unique sites:
Au 0.1244 0.1244 0.3756 [16 per cell]
Br 0.0000 0.0000 0.0000 [4 per cell]
Cl 0.2500 0.2500 0.7500 [4 per cell]

[12]
K4Br2O | meta-GGA SCAN | PBEsol geometry

Computed properties:
The calculation puts the calculated density at 2.562 Mg/m³. For the total magnetic moment, the calculation gives 0.00 Bohr magnetons per cell. For the formation energy from raw total energies, the calculation gives -11.45 eV/f.u.

Cell lengths 5.1265, 5.1265, 16.3854 Å; angles 90.00, 90.00, 90.00 degrees
Space group I4/mmm (No. 139)
Unique sites:
K 0.0000 0.0000 0.1549 [4 per cell]
K 0.0000 0.5000 0.0000 [4 per cell]
Br 0.0000 0.0000 0.3561 [4 per cell]
O 0.0000 0.0000 0.0000 [2 per cell]

[13]
Ru3Rh | meta-GGA SCAN | PBEsol geometry

Computed properties:
The calculation puts the calculated density at 12.636 Mg/m³. The formation energy from the elements is 0.063 eV per atom. For the total magnetic moment, the calculation gives 0.00 Bohr magnetons per cell.

Cell lengths 4.6332, 8.6119, 5.3503 Å; angles 90.00, 90.00, 90.00 degrees
Space group Pnma (No. 62)
Unique sites:
Ru 0.0834 0.2500 0.1258 [4 per cell]
Ru 0.2473 0.5019 0.8745 [8 per cell]
Rh 0.0838 0.2500 0.6242 [4 per cell]

[14]
MgScCd2 | meta-GGA SCAN | PBEsol geometry

Computed properties:
The calculation puts the calculated density at 5.750 Mg/m³. The formation energy from the elements is -0.264 eV per atom. For the total magnetic moment, the calculation gives 0.23 Bohr magnetons per cell.

Cell lengths 3.1841, 4.6991, 5.8949 Å; angles 90.00, 105.66, 90.00 degrees
Space group Pm (No. 6)
Unique sites:
Mg 0.0000 0.0000 0.0000 [1 per cell]
Sc 0.6656 0.5000 0.3301 [1 per cell]
Cd 0.2591 0.0000 0.5167 [1 per cell]
Cd 0.4034 0.5000 0.8089 [1 per cell]

[15]
ScSiTe2Au | meta-GGA SCAN | PBEsol geometry

Computed properties:
The calculation puts the calculated density at 5.974 Mg/m³. For the total magnetic moment, the calculation gives 0.00 Bohr magnetons per cell. For the formation energy from raw total energies, the calculation gives 1.83 eV/f.u.

Cell lengths 5.4009, 5.4009, 5.0044 Å; angles 90.00, 90.00, 90.00 degrees
Space group P4/mmm (No. 123)
Unique sites:
Sc 0.0000 0.0000 0.0000 [1 per cell]
Si 0.5000 0.5000 0.5000 [1 per cell]
Te 0.0000 0.5000 0.0000 [2 per cell]
Au 0.0000 0.0000 0.5000 [1 per cell]

[16]
Al2CrCd | meta-GGA SCAN | PBEsol geometry

Computed properties:
The calculation puts the calculated density at 5.649 Mg/m³. The formation energy from the elements is 0.023 eV per atom. For the total magnetic moment, the calculation gives 3.22 Bohr magnetons per cell.

Cell lengths 2.9996, 3.8412, 5.5709 Å; angles 90.00, 90.00, 90.00 degrees
Space group Pmm2 (No. 25)
Unique sites:
Al 0.0000 0.0000 0.0000 [1 per cell]
Al 0.5000 0.5000 0.2597 [1 per cell]
Cr 0.5000 0.5000 0.7946 [1 per cell]
Cd 0.0000 0.0000 0.5196 [1 per cell]

[17]
La2Hg | meta-GGA SCAN | PBEsol geometry

Computed properties:
The calculation puts the calculated density at 8.559 Mg/m³. The formation energy from the elements is -0.458 eV per atom. For the total magnetic moment, the calculation gives 21.57 Bohr magnetons per cell.

Cell lengths 14.3745, 14.3745, 14.3745 Å; angles 90.00, 90.00, 90.00 degrees
Space group Fd-3m (No. 227, origin choice 2)
Unique sites:
La 0.0000 0.0000 0.0000 [16 per cell]
La 0.0622 0.3750 0.8750 [48 per cell]
Hg 0.0339 0.0339 0.2161 [32 per cell]

[18]
Sc2BeSb | meta-GGA SCAN | PBEsol geometry

Computed properties:
The calculation puts the calculated density at 4.707 Mg/m³. For the total magnetic moment, the calculation gives 0.00 Bohr magnetons per cell. For the formation energy from raw total energies, the calculation gives -2.15 eV/f.u.

Cell lengths 3.7967, 4.0046, 10.2404 Å; angles 90.00, 90.00, 90.00 degrees
Space group Amm2 (No. 38)
Unique sites:
Sc 0.0000 0.0000 0.0000 [2 per cell]
Sc 0.5000 0.0000 0.2942 [2 per cell]
Be 0.0000 0.0000 0.7364 [2 per cell]
Sb 0.5000 0.0000 0.5807 [2 per cell]

[19]
Zr2AsPb | meta-GGA SCAN | PBEsol geometry

Computed properties:
The calculation puts the calculated density at 9.227 Mg/m³. The formation energy from the elements is -0.652 eV per atom. For the total magnetic moment, the calculation gives 0.00 Bohr magnetons per cell. As for the energy above the most stable polymorph in this dataset: 3.1 kJ per mole of atoms.

Cell lengths 4.2223, 5.0842, 7.7896 Å; angles 90.00, 90.00, 90.00 degrees
Space group Cmmm (No. 65)
Unique sites:
Zr 0.0000 0.0000 0.2155 [4 per cell]
As 0.0000 0.5000 0.0000 [2 per cell]
Pb 0.0000 0.5000 0.5000 [2 per cell]

[20]
Ag2Se | meta-GGA SCAN | PBEsol geometry

Computed properties:
The calculation puts the calculated density at 8.615 Mg/m³. For the total magnetic moment, the calculation gives 0.00 Bohr magnetons per cell. For the formation energy from raw total energies, the calculation gives -0.26 eV/f.u.

Cell lengths 4.5066, 6.9162, 7.2895 Å; angles 90.00, 90.00, 90.00 degrees
Space group P2_12_12_1 (No. 19)
Unique sites:
Ag 0.0081 0.2302 0.3730 [4 per cell]
Ag 0.1850 0.6213 0.5416 [4 per cell]
Se 0.1210 0.9940 0.6717 [4 per cell]